1.
Crystalline InGaPtRh at its relaxed geometry. Source: the Alexandria database, functional PBE.

extended XYZ file:
```
4
Lattice="-1.015 -3.425 -2.747 2.774 -3.538 -0.311 -1.224 -3.981 1.720" Properties=species:S:1:pos:R:3 pbc="T T T"
Rh 0.134 -2.736 -0.334
Ga 0.267 -5.472 -0.669
Pt 0.401 -8.208 -1.003
In 0.000 0.000 0.000
```

Energy of formation (eV per formula unit): -1.68
Magnetization (μB/atom): 0.00
Symmetry: F-43m
ρ (kg/m³): 12382
N(E_F) (states/eV/f.u.): 4.00
Crystal system: cubic

=====

2.
Crystalline ScInGaPt at its relaxed geometry. Source: the Alexandria database, functional PBE.

extended XYZ file:
```
4
Lattice="-1.652 4.310 0.983 -4.020 1.493 -1.971 -3.881 0.494 2.639" Properties=species:S:1:pos:R:3 pbc="T T T"
Sc -4.776 3.148 0.826
Ga -7.164 4.723 1.239
Pt -2.388 1.574 0.413
In 0.000 0.000 0.000
```

Energy of formation (eV per formula unit): -2.46
Magnetization (μB/atom): 0.00
Symmetry: F-43m
ρ (kg/m³): 9488
N(E_F) (states/eV/f.u.): 3.26
Crystal system: cubic

=====

3.
Crystalline Sm2In2GaPt4 at its relaxed geometry. Source: the Alexandria database, functional PBE.

extended XYZ file:
```
9
Lattice="-2.514 5.124 3.224 -3.997 -4.253 -2.983 2.787 -4.903 3.341" Properties=species:S:1:pos:R:3 pbc="T T T"
Sm -0.843 -6.376 0.249
Sm -0.368 -2.781 0.109
In -3.559 -1.854 0.210
In -0.166 -2.179 3.372
Ga 0.000 0.000 0.000
Pt -2.212 -4.424 -1.319
Pt -2.083 -4.320 1.790
Pt 1.001 -4.732 1.676
Pt -1.642 0.287 1.791
```

Energy of formation (eV per formula unit): -3.37
Magnetization (μB/atom): 0.00
Symmetry: I4/mmm
ρ (kg/m³): 11476
N(E_F) (states/eV/f.u.): 7.61
Crystal system: tetragonal